Record 1
Below is CaMg4Cu2 after structural relaxation, with properties calculated at the PBE-GGA level.

a b c (Å): 7.9109 7.9109 7.9109
angles (deg): 139.43 139.43 58.71
Closest atoms and distances in Å follow each position.
Positions (direct):
Ca  0.0000  0.0000  0.0000  4 Mg 2.74
Mg  0.0000  0.5000  0.5000  2 Ca 2.74, 4 Cu 2.97
Mg  0.2345  0.2345  0.0000  1 Cu 2.53
Mg  0.5000  0.0000  0.5000  2 Ca 2.74, 4 Cu 2.97
Mg  0.7655  0.7655  0.0000  1 Cu 2.53
Cu  0.4177  0.4177  0.0000  1 Cu 2.27, 1 Mg 2.53
Cu  0.5823  0.5823  0.0000  1 Cu 2.27, 1 Mg 2.53

Output
ΔE to the lowest computed polymorph ... 809 meV per atom
Total moment ... 0.0 μB per cell
Crystal system ... tetragonal
SG ... No. 139

***

Record 2
Below is RbLaAu2 after structural relaxation, with properties calculated at the PBE-GGA level.

a b c (Å): 5.6242 5.6242 3.6578
angles (deg): 90.00 90.00 90.00
Closest atoms and distances in Å follow each position.
Positions (direct):
Rb  0.0000  0.0000  0.0000  8 Au 3.35, 2 Rb 3.66
La  0.5000  0.5000  0.0000  8 Au 3.35, 2 La 3.66
Au  0.0000  0.5000  0.5000  4 La 3.35, 4 Rb 3.35, 2 Au 3.66
Au  0.5000  0.0000  0.5000  4 La 3.35, 4 Rb 3.35, 2 Au 3.66

Output
Total moment ... 0.0 μB per cell
Crystal system ... tetragonal
Calculated total energy ... -3.50 eV per atom
SG ... No. 123

***

Record 3
Below is Li3Ca2Al after structural relaxation, with properties calculated at the PBE-GGA level.

a b c (Å): 6.5986 6.5986 6.5986
angles (deg): 135.18 128.65 70.49
Closest atoms and distances in Å follow each position.
Positions (direct):
Li  0.0000  0.0000  0.0000  2 Al 2.86
Li  0.3915  0.3915  0.0000  1 Li 2.34
Li  0.6085  0.6085  0.0000  1 Li 2.34
Ca  0.1997  0.6997  0.5000  6 Li 3.02-3.31, 1 Al 3.24
Ca  0.8003  0.3003  0.5000  6 Li 3.02-3.31, 1 Al 3.24
Al  0.5000  0.0000  0.5000  6 Li 2.77-2.86

Output
ΔE to the lowest computed polymorph ... 172 meV per atom
Total moment ... 0.0 μB per cell
Crystal system ... orthorhombic
SG ... No. 71

***

Record 4
Below is InSnGeCl5 after structural relaxation, with properties calculated at the PBE-GGA level.

a b c (Å): 7.6526 7.6526 10.0734
angles (deg): 105.13 105.13 97.29
Closest atoms and distances in Å follow each position.
Positions (direct):
In  0.0584  0.9416  0.7500  5 Cl 3.04-3.34
In  0.9416  0.0584  0.2500  5 Cl 3.04-3.34
Sn  0.0000  0.5000  0.0000  6 Cl 2.82-2.91
Sn  0.5000  0.0000  0.5000  6 Cl 2.82-2.91
Ge  0.4845  0.5155  0.7500  2 Cl 2.39
Ge  0.5155  0.4845  0.2500  2 Cl 2.39
Cl  0.1964  0.2343  0.0853  1 Ge 2.72, 1 Sn 2.85
Cl  0.2058  0.7942  0.2500  2 Sn 2.82, 1 In 3.04
Cl  0.2343  0.1964  0.5853  1 Ge 2.72, 1 Sn 2.85
Cl  0.3095  0.6263  0.9072  1 Ge 2.39
Cl  0.3737  0.6905  0.5928  1 Ge 2.39
Cl  0.6263  0.3095  0.4072  1 Ge 2.39
Cl  0.6905  0.3737  0.0928  1 Ge 2.39
Cl  0.7657  0.8036  0.4147  1 Ge 2.72, 1 Sn 2.85
Cl  0.7942  0.2058  0.7500  2 Sn 2.82, 1 In 3.04
Cl  0.8036  0.7657  0.9147  1 Ge 2.72, 1 Sn 2.85

Output
Total moment ... 0.0 μB per cell
Crystal system ... monoclinic
Formation energy (no corrections) ... -0.8588 eV/atom
SG ... No. 15

***

Record 5
Below is LuZrTlPb after structural relaxation, with properties calculated at the PBE-GGA level.

a b c (Å): 5.2193 5.2193 5.2193
angles (deg): 60.00 60.00 60.00
Closest atoms and distances in Å follow each position.
Positions (direct):
Lu  0.0000  0.0000  0.0000  4 Tl 3.20, 4 Pb 3.20
Zr  0.5000  0.5000  0.5000  4 Tl 3.20, 4 Pb 3.20
Tl  0.7500  0.7500  0.7500  4 Zr 3.20, 4 Lu 3.20
Pb  0.2500  0.2500  0.2500  4 Zr 3.20, 4 Lu 3.20

Output
Total moment ... 1.0 μB per cell
Crystal system ... cubic
Calculated total energy ... -4.85 eV per atom
SG ... No. 216

***

Record 6
Below is CrSi2Ag after structural relaxation, with properties calculated at the PBE-GGA level.

a b c (Å): 2.7733 3.6853 5.8168
angles (deg): 90.00 90.00 90.00
Closest atoms and distances in Å follow each position.
Positions (direct):
Cr  0.0000  0.0000  0.0000  8 Si 2.59, 2 Cr 2.77
Si  0.5000  0.5000  0.2024  1 Si 2.36, 2 Ag 2.53, 4 Cr 2.59
Si  0.5000  0.5000  0.7976  1 Si 2.36, 2 Ag 2.53, 4 Cr 2.59
Ag  0.5000  0.0000  0.5000  4 Si 2.53, 2 Ag 2.77

Output
ΔE to the lowest computed polymorph ... 28 meV per atom
Total moment ... 1.7 μB per cell
Crystal system ... orthorhombic
Formation energy (no corrections) ... 0.1757 eV/atom
SG ... No. 47

***

Record 7
Below is Tl3Ni2Cl8 after structural relaxation, with properties calculated at the PBE-GGA level.

a b c (Å): 7.0460 7.0460 9.7596
angles (deg): 110.95 110.95 59.95
Closest atoms and distances in Å follow each position.
Positions (direct):
Tl  0.0000  0.0000  0.0000  6 Cl 3.38-3.39
Tl  0.2062  0.2062  0.6217  1 Cl 3.06
Tl  0.7938  0.7938  0.3783  1 Cl 3.06
Ni  0.4040  0.4040  0.2128  4 Cl 2.20
Ni  0.5960  0.5960  0.7872  4 Cl 2.20
Cl  0.2307  0.7334  0.6954  1 Ni 2.20
Cl  0.2673  0.2673  0.3050  1 Ni 2.20
Cl  0.2666  0.7693  0.3046  1 Ni 2.20
Cl  0.3219  0.3219  0.9655  1 Ni 2.20
Cl  0.6781  0.6781  0.0345  1 Ni 2.20
Cl  0.7334  0.2307  0.6954  1 Ni 2.20
Cl  0.7327  0.7327  0.6950  1 Ni 2.20
Cl  0.7693  0.2666  0.3046  1 Ni 2.20

Output
Total moment ... 5.0 μB per cell
Crystal system ... monoclinic
Formation energy (no corrections) ... -0.7168 eV/atom
SG ... No. 12

***

Record 8
Below is Tb2Pm5SmSc after structural relaxation, with properties calculated at the PBE-GGA level.

a b c (Å): 10.5793 10.5793 10.4618
angles (deg): 90.00 90.00 149.25
Closest atoms and distances in Å follow each position.
Positions (direct):
Tb  0.1139  0.8861  0.5000  9 Pm 3.31-3.67, 1 Sc 3.50
Tb  0.1157  0.8843  0.9304  1 Sc 3.32, 7 Pm 3.54-3.70, 2 Sm 3.69
Tb  0.8843  0.1157  0.4304  1 Sc 3.32, 7 Pm 3.54-3.70, 2 Sm 3.69
Tb  0.8861  0.1139  0.0000  9 Pm 3.31-3.67, 1 Sc 3.50
Pm  0.0151  0.9849  0.2063  2 Sm 3.28, 3 Tb 3.40-3.55
Pm  0.2759  0.7241  0.5128  1 Sm 3.04, 1 Tb 3.31, 2 Pm 3.38
Pm  0.2962  0.7038  0.8997  3 Pm 3.38-3.64, 1 Sm 3.39, 2 Sc 3.46, 3 Tb 3.51-3.70
Pm  0.3745  0.6255  0.2118  4 Tb 3.58-3.63, 6 Pm 3.64-4.01, 1 Sc 3.64
Pm  0.4856  0.5144  0.9376  2 Sm 3.18-3.37, 2 Tb 3.52
Pm  0.5144  0.4856  0.4376  2 Sm 3.18-3.37, 2 Tb 3.52
Pm  0.6255  0.3745  0.7118  4 Tb 3.58-3.63, 6 Pm 3.64-4.01, 1 Sc 3.64
Pm  0.7038  0.2962  0.3997  3 Pm 3.38-3.64, 1 Sm 3.39, 2 Sc 3.46, 3 Tb 3.51-3.70
Pm  0.7241  0.2759  0.0128  1 Sm 3.04, 1 Tb 3.31, 2 Pm 3.38
Pm  0.9849  0.0151  0.7063  2 Sm 3.28, 3 Tb 3.40-3.55
Sm  0.4057  0.5943  0.6558  6 Pm 3.04-3.39
Sm  0.5943  0.4057  0.1558  6 Pm 3.04-3.39
Sc  0.1960  0.8040  0.2064  2 Tb 3.32-3.50, 7 Pm 3.46-3.69, 2 Sm 3.53
Sc  0.8040  0.1960  0.7064  2 Tb 3.32-3.50, 7 Pm 3.46-3.69, 2 Sm 3.53

Output
Total moment ... 0.0 μB per cell
Crystal system ... orthorhombic
Calculated total energy ... -4.74 eV per atom
SG ... No. 36